Record 1
First-principles (SCAN) data for a PBEsol-optimized structure of KReHg2, as listed in the Alexandria database.

The distance to the lowest polymorph of the same formula comes out at 99 meV per atom. Its calculated formation energy is 0.783 eV per atom. As for the total DFT energy (no corrections): -53.156 eV per atom. Its crystal system is orthorhombic. The spin magnetization comes out at 0.0000 μB per atom.

The space group is Cmm2 (No. 35) and the conventional cell measures 3.5194, 4.4108 and 10.6597 Å, with angles of 90.00, 90.00 and 90.00 degrees. The inequivalent atoms are K at (0.0000, 0.0000, 0.0000), Re at (0.0000, 0.5000, 0.2624), Hg at (0.0000, 0.0000, 0.4757) and Hg at (0.0000, 0.5000, 0.7305).

Record 2
First-principles (SCAN) data for a PBEsol-optimized structure of Cd3GaPt, as listed in the Alexandria database.

Its calculated formation energy is 0.649 eV per atom. As for the total DFT energy (no corrections): -34.907 eV per atom. Its crystal system is cubic. The spin magnetization comes out at 0.0000 μB per atom.

The space group is Pm-3m (No. 221) and the conventional cell measures 4.8498, 4.8498 and 4.8498 Å, with angles of 90.00, 90.00 and 90.00 degrees. The inequivalent atoms are Cd at (0.0000, 0.0000, 0.5000), Ga at (0.0000, 0.0000, 0.0000) and Pt at (0.5000, 0.5000, 0.5000).

Record 3
First-principles (SCAN) data for a PBEsol-optimized structure of Mg2MnAs, as listed in the Alexandria database.

Its calculated formation energy is -0.046 eV per atom. As for the total DFT energy (no corrections): -12.145 eV per atom. Its crystal system is trigonal. The spin magnetization comes out at 0.6407 μB per atom.

The space group is R3m (No. 160, hexagonal axes) and the conventional cell measures 3.1419, 3.1419 and 25.4879 Å, with angles of 90.00, 90.00 and 120.00 degrees. The inequivalent atoms are Mg at (0.0000, 0.0000, 0.0000), Mg at (0.0000, 0.0000, 0.2301), Mn at (0.0000, 0.0000, 0.7502) and As at (0.0000, 0.0000, 0.4755).

Record 4
First-principles (SCAN) data for a PBEsol-optimized structure of Mo5Pt, as listed in the Alexandria database.

The distance to the lowest polymorph of the same formula comes out at 0 meV per atom. Its calculated formation energy is 0.096 eV per atom. As for the total DFT energy (no corrections): -40.674 eV per atom. Its crystal system is tetragonal. The spin magnetization comes out at 0.0000 μB per atom.

The space group is P4/mmm (No. 123) and the conventional cell measures 2.6519, 2.6519 and 13.0997 Å, with angles of 90.00, 90.00 and 90.00 degrees. The inequivalent atoms are Mo at (0.0000, 0.0000, 0.0000), Mo at (0.0000, 0.0000, 0.3417), Mo at (0.5000, 0.5000, 0.1716) and Pt at (0.5000, 0.5000, 0.5000).

Record 5
First-principles (SCAN) data for a PBEsol-optimized structure of La2Se2Br, as listed in the Alexandria database.

As for the total DFT energy (no corrections): -31.378 eV per atom. Its crystal system is tetragonal. The spin magnetization comes out at 0.0000 μB per atom. As for the uncorrected formation energy: -1067 kJ/mol of formula units.

The space group is P4/mbm (No. 127) and the conventional cell measures 8.1735, 8.1735 and 3.9153 Å, with angles of 90.00, 90.00 and 90.00 degrees. The inequivalent atoms are La at (0.1567, 0.3433, 0.0000), Se at (0.1412, 0.6412, 0.5000) and Br at (0.0000, 0.0000, 0.0000).

Record 6
First-principles (SCAN) data for a PBEsol-optimized structure of ScCoTc2, as listed in the Alexandria database.

The distance to the lowest polymorph of the same formula comes out at 0 meV per atom. Its calculated formation energy is -0.183 eV per atom. As for the total DFT energy (no corrections): -25.598 eV per atom. Its crystal system is tetragonal. The spin magnetization comes out at 0.5234 μB per atom.

The space group is P4mm (No. 99) and the conventional cell measures 3.0359, 3.0359 and 6.2814 Å, with angles of 90.00, 90.00 and 90.00 degrees. The inequivalent atoms are Sc at (0.0000, 0.0000, 0.0000), Co at (0.5000, 0.5000, 0.7459), Tc at (0.0000, 0.0000, 0.5131) and Tc at (0.5000, 0.5000, 0.2903).